A relaxed structure of NaY2FeHg, computed with PBE-GGA.

As for the calculated volume: 27.99 Å³/atom. The calculation puts the formation energy at 1.3547 eV per atom.

a b c (Å): 5.412 5.412 4.778
angles (deg): 90.00 90.00 90.00
Space group P4/mmm (No. 123)
One atom of each set of equivalent atoms:
Na 0.000 0.000 0.000 [1 per cell]
Y 0.000 0.500 0.000 [2 per cell]
Fe 0.500 0.500 0.500 [1 per cell]
Hg 0.000 0.000 0.500 [1 per cell]

---

A relaxed structure of Nb2Fe2Hg, computed with PBE-GGA.

As for the calculated volume: 17.06 Å³/atom. The calculation puts the formation energy at 0.2846 eV per atom. The energy above the most stable polymorph in this dataset is 169.8 meV/atom.

a b c (Å): 4.186 4.186 9.736
angles (deg): 90.00 90.00 90.00
Space group I4/mmm (No. 139)
One atom of each set of equivalent atoms:
Nb 0.000 0.500 0.250 [4 per cell]
Fe 0.000 0.000 0.113 [4 per cell]
Hg 0.000 0.000 0.500 [2 per cell]

---

A relaxed structure of NbFe4Hg, computed with PBE-GGA.

As for the calculated volume: 13.66 Å³/atom. The calculation puts the formation energy at 0.0338 eV per atom.

a b c (Å): 6.895 6.895 6.895
angles (deg): 90.00 90.00 90.00
Space group F-43m (No. 216)
One atom of each set of equivalent atoms:
Nb 0.000 0.000 0.000 [4 per cell]
Fe 0.125 0.125 0.375 [16 per cell]
Hg 0.250 0.250 0.750 [4 per cell]

---

A relaxed structure of Nb2Fe2Hg, computed with PBE-GGA.

As for the calculated volume: 15.57 Å³/atom. The calculation puts the formation energy at 0.1147 eV per atom. The energy above the most stable polymorph in this dataset is 0.0 meV/atom.

a b c (Å): 7.212 7.212 2.993
angles (deg): 90.00 90.00 90.00
Space group P4/mbm (No. 127)
One atom of each set of equivalent atoms:
Nb 0.160 0.340 0.000 [4 per cell]
Fe 0.133 0.633 0.500 [4 per cell]
Hg 0.000 0.000 0.500 [2 per cell]

---

A relaxed structure of Nb3FeHg, computed with PBE-GGA.

As for the calculated volume: 19.68 Å³/atom. The calculation puts the formation energy at 0.5912 eV per atom. The energy above the most stable polymorph in this dataset is 0.0 meV/atom.

a b c (Å): 4.617 4.617 4.617
angles (deg): 90.00 90.00 90.00
Space group Pm-3m (No. 221)
One atom of each set of equivalent atoms:
Nb 0.000 0.000 0.500 [3 per cell]
Fe 0.000 0.000 0.000 [1 per cell]
Hg 0.500 0.500 0.500 [1 per cell]

---

A relaxed structure of NbFeHg2, computed with PBE-GGA.

As for the calculated volume: 17.45 Å³/atom. The calculation puts the formation energy at 0.6254 eV per atom. The energy above the most stable polymorph in this dataset is 0.0 meV/atom.

a b c (Å): 6.536 6.536 6.536
angles (deg): 90.00 90.00 90.00
Space group Fm-3m (No. 225)
One atom of each set of equivalent atoms:
Nb 0.000 0.000 0.000 [4 per cell]
Fe 0.000 0.000 0.500 [4 per cell]
Hg 0.250 0.250 0.250 [8 per cell]

---

A relaxed structure of NbFe3Hg, computed with PBE-GGA.

As for the calculated volume: 21.36 Å³/atom. The calculation puts the formation energy at 1.7569 eV per atom.

a b c (Å): 4.744 4.744 4.744
angles (deg): 90.00 90.00 90.00
Space group Pm-3m (No. 221)
One atom of each set of equivalent atoms:
Nb 0.000 0.000 0.000 [1 per cell]
Fe 0.000 0.500 0.500 [3 per cell]
Hg 0.500 0.500 0.500 [1 per cell]

---

A relaxed structure of Nb3FeHg, computed with PBE-GGA.

As for the calculated volume: 25.22 Å³/atom. The calculation puts the formation energy at 2.5392 eV per atom. The energy above the most stable polymorph in this dataset is 1948.0 meV/atom.

a b c (Å): 5.015 5.015 5.015
angles (deg): 90.00 90.00 90.00
Space group Pm-3m (No. 221)
One atom of each set of equivalent atoms:
Nb 0.000 0.000 0.500 [3 per cell]
Fe 0.500 0.500 0.500 [1 per cell]
Hg 0.000 0.000 0.000 [1 per cell]

---

A relaxed structure of NbFe2Hg, computed with PBE-GGA.

As for the calculated volume: 17.00 Å³/atom. The calculation puts the formation energy at 0.7405 eV per atom.

a b c (Å): 7.003 7.003 5.545
angles (deg): 90.00 90.00 90.00
Space group I-42d (No. 122)
One atom of each set of equivalent atoms:
Nb 0.000 0.000 0.000 [4 per cell]
Fe 0.228 0.250 0.125 [8 per cell]
Hg 0.000 0.000 0.500 [4 per cell]

---

A relaxed structure of NbFeHg2, computed with PBE-GGA.

As for the calculated volume: 19.17 Å³/atom. The calculation puts the formation energy at 0.9194 eV per atom. The energy above the most stable polymorph in this dataset is 294.0 meV/atom.

a b c (Å): 7.551 7.551 5.380
angles (deg): 90.00 90.00 90.00
Space group I-42d (No. 122)
One atom of each set of equivalent atoms:
Nb 0.000 0.000 0.000 [4 per cell]
Fe 0.000 0.000 0.500 [4 per cell]
Hg 0.217 0.750 0.625 [8 per cell]

---

A relaxed structure of NbFeHg3, computed with PBE-GGA.

As for the calculated volume: 23.58 Å³/atom. The calculation puts the formation energy at 1.0472 eV per atom. The energy above the most stable polymorph in this dataset is 0.0 meV/atom.

a b c (Å): 4.903 4.903 4.903
angles (deg): 90.00 90.00 90.00
Space group Pm-3m (No. 221)
One atom of each set of equivalent atoms:
Nb 0.000 0.000 0.000 [1 per cell]
Fe 0.500 0.500 0.500 [1 per cell]
Hg 0.000 0.500 0.500 [3 per cell]

---

A relaxed structure of RbNb2FeHg, computed with PBE-GGA.

As for the calculated volume: 23.82 Å³/atom. The calculation puts the formation energy at 0.9752 eV per atom.

a b c (Å): 4.711 4.711 5.366
angles (deg): 90.00 90.00 90.00
Space group P4/mmm (No. 123)
One atom of each set of equivalent atoms:
Rb 0.000 0.000 0.000 [1 per cell]
Nb 0.000 0.500 0.500 [2 per cell]
Fe 0.500 0.500 0.500 [1 per cell]
Hg 0.500 0.500 0.000 [1 per cell]

---

A relaxed structure of Nb2FeHg2S6, computed with PBE-GGA.

As for the calculated volume: 24.11 Å³/atom. As for the total energy: -121.1 eV/cell.

a b c (Å): 5.743 9.938 9.583
angles (deg): 90.00 104.11 90.00
Space group C2/m (No. 12)
One atom of each set of equivalent atoms:
Nb 0.000 0.167 0.000 [4 per cell]
Fe 0.000 0.500 0.000 [2 per cell]
Hg 0.000 0.325 0.500 [4 per cell]
S 0.223 0.342 0.160 [8 per cell]
S 0.250 0.000 0.159 [4 per cell]

---

A relaxed structure of NbFeTcHg, computed with PBE-GGA.

As for the calculated volume: 16.36 Å³/atom. The calculation puts the formation energy at 0.2740 eV per atom. The energy above the most stable polymorph in this dataset is 87.1 meV/atom.

a b c (Å): 2.781 3.571 6.589
angles (deg): 90.00 90.13 90.00
Space group Pm (No. 6)
One atom of each set of equivalent atoms:
Nb 0.000 0.000 0.000 [1 per cell]
Fe 0.504 0.500 0.763 [1 per cell]
Tc 0.002 0.000 0.607 [1 per cell]
Hg 0.502 0.500 0.313 [1 per cell]